1.
Rb12Hg5Pt3: optimized geometry, PBE.

The value obtained for the formation energy is 0.104 eV per atom.

The structure belongs to space group Ia-3d (No. 230); the cell edges are 20.430, 20.430 and 20.430 Å and the angles 90.00°, 90.00° and 90.00°. The asymmetric unit holds Rb at (0.020, 0.090, 0.652), Hg at (0.000, 0.000, 0.000), Hg at (0.000, 0.250, 0.375) and Pt at (0.000, 0.250, 0.125).

***

2.
Rb2HgPt: optimized geometry, PBE.

The value obtained for the formation energy is -0.141 eV per atom.

The structure belongs to space group Cm (No. 8); the cell edges are 8.363, 4.830 and 9.335 Å and the angles 90.00°, 107.29° and 90.00°. The asymmetric unit holds Rb at (0.000, 0.000, 0.000), Rb at (0.165, 0.000, 0.497), Hg at (0.249, 0.500, 0.248) and Pt at (0.416, 0.000, 0.248).

***

3.
RbHgPt2S: optimized geometry, PBE.

The formation energy (no corrections) comes out at 1.2 kcal/mol of atoms.

The structure belongs to space group P4/mmm (No. 123); the cell edges are 4.585, 4.585 and 6.344 Å and the angles 90.00°, 90.00° and 90.00°. The asymmetric unit holds Rb at (0.000, 0.000, 0.000), Hg at (0.500, 0.500, 0.000), Pt at (0.000, 0.500, 0.500) and S at (0.000, 0.000, 0.500).

***

4.
RbHg2SbPt: optimized geometry, PBE.

The formation energy (no corrections) comes out at -4.2 kcal/mol of atoms.

The structure belongs to space group P4/mmm (No. 123); the cell edges are 5.400, 5.400 and 5.341 Å and the angles 90.00°, 90.00° and 90.00°. The asymmetric unit holds Rb at (0.000, 0.000, 0.000), Hg at (0.000, 0.500, 0.500), Sb at (0.500, 0.500, 0.000) and Pt at (0.500, 0.500, 0.500).

***

5.
Rb2HgSbPt: optimized geometry, PBE.

The formation energy (no corrections) comes out at -6.0 kcal/mol of atoms.

The structure belongs to space group P4/mmm (No. 123); the cell edges are 6.683, 6.683 and 4.978 Å and the angles 90.00°, 90.00° and 90.00°. The asymmetric unit holds Rb at (0.000, 0.500, 0.000), Hg at (0.000, 0.000, 0.500), Sb at (0.500, 0.500, 0.500) and Pt at (0.500, 0.500, 0.000).

***

6.
RbHg2PtSe: optimized geometry, PBE.

The formation energy (no corrections) comes out at -7.3 kcal/mol of atoms.

The structure belongs to space group P4/mmm (No. 123); the cell edges are 5.347, 5.347 and 5.257 Å and the angles 90.00°, 90.00° and 90.00°. The asymmetric unit holds Rb at (0.000, 0.000, 0.000), Hg at (0.000, 0.500, 0.500), Pt at (0.500, 0.500, 0.500) and Se at (0.500, 0.500, 0.000).

***

7.
RbSnHg2Pt: optimized geometry, PBE.

The value obtained for the formation energy is -0.205 eV per atom.

The structure belongs to space group P4/mmm (No. 123); the cell edges are 5.433, 5.433 and 5.234 Å and the angles 90.00°, 90.00° and 90.00°. The asymmetric unit holds Rb at (0.000, 0.000, 0.000), Sn at (0.500, 0.500, 0.000), Hg at (0.000, 0.500, 0.500) and Pt at (0.500, 0.500, 0.500).

***

8.
Rb2SnHgPt: optimized geometry, PBE.

The value obtained for the formation energy is -0.169 eV per atom.

The structure belongs to space group P4/mmm (No. 123); the cell edges are 6.600, 6.600 and 5.064 Å and the angles 90.00°, 90.00° and 90.00°. The asymmetric unit holds Rb at (0.000, 0.500, 0.000), Sn at (0.000, 0.000, 0.500), Hg at (0.500, 0.500, 0.500) and Pt at (0.000, 0.000, 0.000).